Record 1
DFT (GGA-PBEsol) results for crystalline MgCu2Ag at its relaxed geometry.

a = 3.8529 Å, b = 3.8495 Å, c = 3.8052 Å
α = 90.00°, β = 90.00°, γ = 90.00°
Fractional positions:
Mg 0.5000 0.0000 0.5000
Cu 0.0000 0.0000 0.0000
Cu 0.5000 0.5000 0.0000
Ag 0.0000 0.5000 0.5000

- total moment (μB/f.u.) = 0.000
- space-group type = P4/mmm, No. 123



Record 2
DFT (GGA-PBEsol) results for crystalline MgCu2Ag at its relaxed geometry.

a = 3.0572 Å, b = 3.0572 Å, c = 6.1183 Å
α = 90.00°, β = 90.00°, γ = 90.00°
Fractional positions:
Mg 0.0000 0.0000 0.4803
Ag 0.5000 0.5000 0.7730
Cu 0.0000 0.0000 0.0259
Cu 0.5000 0.5000 0.2207

- total moment (μB/f.u.) = 0.000
- space-group type = P4mm, No. 99



Record 3
DFT (GGA-PBEsol) results for crystalline MgCu2Ag at its relaxed geometry.

a = 3.8570 Å, b = 3.8570 Å, c = 4.6728 Å
α = 114.38°, β = 114.38°, γ = 90.00°
Fractional positions:
Mg 0.5000 0.5000 0.0000
Cu 0.7500 0.2500 0.5000
Cu 0.2500 0.7500 0.5000
Ag 0.0000 0.0000 0.0000

- total moment (μB/f.u.) = 0.000
- space-group type = I4/mmm, No. 139



Record 4
DFT (GGA-PBEsol) results for crystalline MgCu2AgPt at its relaxed geometry.

a = 4.6220 Å, b = 4.6220 Å, c = 4.9830 Å
α = 90.00°, β = 90.00°, γ = 90.00°
Fractional positions:
Mg 0.5000 0.5000 0.5000
Cu 0.0000 0.5000 0.0000
Cu 0.5000 0.0000 0.0000
Ag 0.0000 0.0000 0.5000
Pt 0.0000 0.0000 0.0000

- total moment (μB/f.u.) = 0.000
- space-group type = P4/mmm, No. 123



Record 5
DFT (GGA-PBEsol) results for crystalline MnCuAg2 at its relaxed geometry.

a = 3.1208 Å, b = 4.3615 Å, c = 4.3615 Å
α = 90.00°, β = 90.00°, γ = 90.00°
Fractional positions:
Ag 0.0000 0.0000 0.5000
Ag 0.0000 0.5000 0.0000
Cu 0.5000 0.5000 0.5000
Mn 0.5000 0.0000 0.0000

- total moment (μB/f.u.) = 4.129
- space-group type = P4/mmm, No. 123



Record 6
DFT (GGA-PBEsol) results for crystalline Mn2CuAg at its relaxed geometry.

a = 2.6826 Å, b = 2.6826 Å, c = 6.8911 Å
α = 90.00°, β = 90.00°, γ = 90.00°
Fractional positions:
Ag 0.5000 0.5000 0.4995
Cu 0.0000 0.0000 0.7747
Mn 0.5000 0.5000 0.0267
Mn 0.0000 0.0000 0.1991

- total moment (μB/f.u.) = 0.002
- distance to the lowest polymorph of the same formula (meV/atom) = 0.0
- space-group type = P4mm, No. 99



Record 7
DFT (GGA-PBEsol) results for crystalline Mn2CuAg at its relaxed geometry.

a = 4.3159 Å, b = 4.3159 Å, c = 4.3159 Å
α = 60.00°, β = 60.00°, γ = 60.00°
Fractional positions:
Ag 0.0000 0.0000 0.0000
Cu 0.5000 0.5000 0.5000
Mn 0.2500 0.2500 0.2500
Mn 0.7500 0.7500 0.7500

- total moment (μB/f.u.) = 7.781
- distance to the lowest polymorph of the same formula (meV/atom) = 146.1
- space-group type = Fm-3m, No. 225



Record 8
DFT (GGA-PBEsol) results for crystalline ScMnCu2Ag at its relaxed geometry.

a = 4.6593 Å, b = 4.6593 Å, c = 4.8314 Å
α = 90.00°, β = 90.00°, γ = 90.00°
Fractional positions:
Sc 0.0000 0.0000 0.5000
Mn 0.5000 0.5000 0.5000
Cu 0.0000 0.5000 0.0000
Cu 0.5000 0.0000 0.0000
Ag 0.0000 0.0000 0.0000

- total moment (μB/f.u.) = 4.425
- space-group type = P4/mmm, No. 123



For the records above, the corresponding electronic total energy values read -3.46 -3.45 -3.47 -3.45 -4.86 -6.50 -6.36 -4.60 eV/atom.